Below is a relaxed ReP crystal, with properties calculated at the PBE level.

Unit cell a=2.9092 b=2.9092 c=7.5384 alpha=90.00 beta=90.00 gamma=90.00
With the nearest neighbours (Å) after each atom.
Sites, in units of the cell vectors:
Re: 0.2500 0.2500 0.1262  4 P 2.48
Re: 0.7500 0.7500 0.8738  4 P 2.48
P: 0.2500 0.2500 0.6893  4 Re 2.48
P: 0.7500 0.7500 0.3107  4 Re 2.48

Results
- formation energy from the elements (eV/atom) = 0.0236
- energy above the lowest structure with this stoichiometry (eV/f.u.) = 0.62

Below is a relaxed Cs2NdSnCl6 crystal, with properties calculated at the PBE level.

Unit cell a=7.9291 b=13.1629 c=7.8927 alpha=90.00 beta=90.00 gamma=90.00
With the nearest neighbours (Å) after each atom.
Sites, in units of the cell vectors:
Cs: 0.2500 0.0417 0.2482  8 Cl 3.79-4.12
Cs: 0.2500 0.4583 0.2482  8 Cl 3.79-4.12
Cs: 0.7500 0.5417 0.7518  8 Cl 3.79-4.12
Cs: 0.7500 0.9583 0.7518  8 Cl 3.79-4.12
Nd: 0.2500 0.2500 0.7605  6 Cl 2.73-2.75
Nd: 0.7500 0.7500 0.2395  6 Cl 2.73-2.75
Sn: 0.2500 0.7500 0.7386  4 Cl 2.85-2.86
Sn: 0.7500 0.2500 0.2614  4 Cl 2.85-2.86
Cl: 0.0138 0.2500 0.0152  1 Nd 2.75, 1 Sn 2.85
Cl: 0.0156 0.2500 0.5058  1 Nd 2.74, 1 Sn 2.86
Cl: 0.2500 0.0427 0.7675  1 Nd 2.73
Cl: 0.2500 0.4573 0.7675  1 Nd 2.73
Cl: 0.4844 0.2500 0.5058  1 Nd 2.74, 1 Sn 2.86
Cl: 0.4862 0.2500 0.0152  1 Nd 2.75, 1 Sn 2.85
Cl: 0.5138 0.7500 0.9848  1 Nd 2.75, 1 Sn 2.85
Cl: 0.5156 0.7500 0.4942  1 Nd 2.74, 1 Sn 2.86
Cl: 0.7500 0.5427 0.2325  1 Nd 2.73
Cl: 0.7500 0.9573 0.2325  1 Nd 2.73
Cl: 0.9844 0.7500 0.4942  1 Nd 2.74, 1 Sn 2.86
Cl: 0.9862 0.7500 0.9848  1 Nd 2.75, 1 Sn 2.85

Results
- formation energy without anion corrections (eV per atom) = -1.738

Below is a relaxed Ce2Ir2Pt crystal, with properties calculated at the PBE level.

Unit cell a=4.1588 b=6.3859 c=7.8615 alpha=90.00 beta=90.00 gamma=90.00
With the nearest neighbours (Å) after each atom.
Sites, in units of the cell vectors:
Ce: 0.0000 0.0000 0.2188  6 Ir 2.90-3.00, 2 Pt 3.03
Ce: 0.0000 0.0000 0.7812  6 Ir 2.90-3.00, 2 Pt 3.03
Ce: 0.5000 0.5000 0.2812  6 Ir 2.90-3.00, 2 Pt 3.03
Ce: 0.5000 0.5000 0.7188  6 Ir 2.90-3.00, 2 Pt 3.03
Ir: 0.0000 0.2942 0.5000  1 Ir 2.63, 2 Pt 2.80, 2 Ce 2.90
Ir: 0.0000 0.7058 0.5000  1 Ir 2.63, 2 Pt 2.80, 2 Ce 2.90
Ir: 0.5000 0.2058 0.0000  1 Ir 2.63, 2 Pt 2.80, 2 Ce 2.90
Ir: 0.5000 0.7942 0.0000  1 Ir 2.63, 2 Pt 2.80, 2 Ce 2.90
Pt: 0.0000 0.5000 0.0000  4 Ir 2.80, 4 Ce 3.03
Pt: 0.5000 0.0000 0.5000  4 Ir 2.80, 4 Ce 3.03

Results
- formation energy from the elements (eV/atom) = -0.7757

Below is a relaxed LaYAgRh crystal, with properties calculated at the PBE level.

Unit cell a=7.2486 b=7.2486 c=7.2486 alpha=90.00 beta=90.00 gamma=90.00
With the nearest neighbours (Å) after each atom.
Sites, in units of the cell vectors:
La: 0.0000 0.0000 0.0000  4 Ag 3.14, 4 Rh 3.14
La: 0.0000 0.5000 0.5000  4 Ag 3.14, 4 Rh 3.14
La: 0.5000 0.0000 0.5000  4 Ag 3.14, 4 Rh 3.14
La: 0.5000 0.5000 0.0000  4 Ag 3.14, 4 Rh 3.14
Y: 0.0000 0.0000 0.5000  4 Rh 3.14, 4 Ag 3.14
Y: 0.0000 0.5000 0.0000  4 Rh 3.14, 4 Ag 3.14
Y: 0.5000 0.0000 0.0000  4 Rh 3.14, 4 Ag 3.14
Y: 0.5000 0.5000 0.5000  4 Rh 3.14, 4 Ag 3.14
Ag: 0.2500 0.2500 0.2500  4 Y 3.14, 4 La 3.14
Ag: 0.2500 0.7500 0.7500  4 La 3.14, 4 Y 3.14
Ag: 0.7500 0.2500 0.7500  4 La 3.14, 4 Y 3.14
Ag: 0.7500 0.7500 0.2500  4 La 3.14, 4 Y 3.14
Rh: 0.2500 0.2500 0.7500  4 La 3.14, 4 Y 3.14
Rh: 0.2500 0.7500 0.2500  4 La 3.14, 4 Y 3.14
Rh: 0.7500 0.2500 0.2500  4 La 3.14, 4 Y 3.14
Rh: 0.7500 0.7500 0.7500  4 La 3.14, 4 Y 3.14

Results
- formation energy from the elements (eV/atom) = -0.4832